(1)
Na2PmSc3Se6, relaxed, DFT PBE-GGA; total magnetic moment = 0.00 μB/cell; raw formation energy = -19.5 eV per formula unit; N(E_F) = 0.355 states/eV/atom
1.0
6.878 0.000 0.001
-3.437 5.958 0.001
-1.148 -1.987 6.746
Na Pm Sc Se
2 1 3 6
direct
0.333 0.667 0.000
0.667 0.333 0.000
0.000 0.000 0.000
0.167 0.833 0.500
0.833 0.167 0.500
0.500 0.500 0.500
0.910 0.575 0.729
0.757 0.757 0.273
0.090 0.425 0.271
0.575 0.910 0.729
0.243 0.243 0.727
0.425 0.090 0.271

=====

(2)
Na2Pm3ScSe6, relaxed, DFT PBE-GGA; total magnetic moment = 0.00 μB/cell; raw formation energy = -20.2 eV per formula unit; N(E_F) = 0.313 states/eV/atom
1.0
7.207 0.006 0.001
-3.597 6.245 0.001
-1.203 -2.083 6.703
Na Pm Sc Se
2 3 1 6
direct
0.335 0.665 0.000
0.665 0.335 0.000
0.172 0.828 0.500
0.828 0.172 0.500
0.500 0.500 0.500
0.000 0.000 0.000
0.921 0.600 0.762
0.762 0.762 0.246
0.079 0.400 0.238
0.600 0.921 0.762
0.238 0.238 0.754
0.400 0.079 0.238

=====

(3)
NaPm3Sc2Se6, relaxed, DFT PBE-GGA; total magnetic moment = 0.00 μB/cell; raw formation energy = -20.3 eV per formula unit; N(E_F) = 0.363 states/eV/atom
1.0
4.071 0.000 0.000
0.000 8.185 0.315
-2.036 -2.333 8.581
Na Pm Sc Se
1 3 2 6
direct
0.500 0.000 0.000
0.500 0.500 0.000
0.840 0.174 0.680
0.160 0.826 0.320
0.835 0.656 0.670
0.165 0.344 0.330
0.331 0.899 0.662
0.673 0.573 0.345
0.669 0.101 0.338
0.009 0.248 0.018
0.991 0.752 0.982
0.327 0.427 0.655

=====

(4)
Na2PmScSe4, relaxed, DFT PBE-GGA; total magnetic moment = 0.00 μB/cell; raw formation energy = -13.0 eV per formula unit; N(E_F) = 0.000 states/eV/atom
1.0
4.104 0.000 0.000
0.000 7.108 0.106
0.000 -2.474 6.960
Na Pm Sc Se
2 1 1 4
direct
0.500 0.000 0.500
0.000 0.500 0.500
0.500 0.500 0.000
0.000 0.000 0.000
0.500 0.225 0.222
0.500 0.775 0.778
0.000 0.239 0.770
0.000 0.761 0.230

=====

(5)
NaPmSc2Se4, relaxed, DFT PBE-GGA; total magnetic moment = 0.00 μB/cell; raw formation energy = -13.2 eV per formula unit; N(E_F) = 0.401 states/eV/atom
1.0
3.973 0.000 0.000
0.000 6.934 0.154
0.000 -2.408 6.649
Na Pm Sc Se
1 1 2 4
direct
0.000 0.000 0.000
0.500 0.500 0.000
0.500 0.000 0.500
0.000 0.500 0.500
0.500 0.257 0.273
0.500 0.743 0.727
0.000 0.239 0.729
0.000 0.761 0.271

=====

(6)
NaPm2ScTe4, relaxed, DFT PBE-GGA; total magnetic moment = 0.00 μB/cell; raw formation energy = -10.2 eV per formula unit; N(E_F) = 0.462 states/eV/atom
1.0
4.368 0.000 0.000
0.000 7.652 0.189
0.000 -2.647 7.109
Na Pm Sc Te
1 2 1 4
direct
0.500 0.500 0.000
0.500 0.000 0.500
0.000 0.500 0.500
0.000 0.000 0.000
0.500 0.238 0.232
0.500 0.762 0.768
0.000 0.246 0.761
0.000 0.754 0.239

=====

(7)
Na3Pm2ScTe6, relaxed, DFT PBE-GGA; total magnetic moment = 0.00 μB/cell; raw formation energy = -15.3 eV per formula unit
1.0
7.681 -0.003 -0.004
-3.841 6.652 -0.004
-1.284 -2.224 7.556
Na Pm Sc Te
3 2 1 6
direct
0.172 0.828 0.500
0.828 0.172 0.500
0.500 0.500 0.500
0.334 0.666 0.000
0.666 0.334 0.000
0.000 0.000 0.000
0.923 0.606 0.768
0.762 0.762 0.232
0.077 0.394 0.232
0.606 0.923 0.768
0.238 0.238 0.768
0.394 0.077 0.232

=====

(8)
NaPmSc2Te4, relaxed, DFT PBE-GGA; total magnetic moment = 0.00 μB/cell; raw formation energy = -9.8 eV per formula unit; N(E_F) = 0.497 states/eV/atom
1.0
4.260 0.000 0.000
0.000 7.455 0.169
0.000 -2.581 7.123
Na Pm Sc Te
1 1 2 4
direct
0.000 0.000 0.000
0.500 0.500 0.000
0.500 0.000 0.500
0.000 0.500 0.500
0.500 0.256 0.271
0.500 0.744 0.729
0.000 0.240 0.730
0.000 0.760 0.270

=====

(9)
Na4PmSc3Te8, relaxed, DFT PBE-GGA; total magnetic moment = 0.00 μB/cell; raw formation energy = -19.4 eV per formula unit
1.0
8.632 0.000 0.000
0.000 9.039 0.277
-4.316 -4.313 6.106
Na Pm Sc Te
4 1 3 8
direct
0.500 0.000 0.000
0.500 0.000 0.500
0.000 0.000 0.000
0.000 0.000 0.500
0.000 0.500 0.000
0.500 0.500 0.000
0.500 0.500 0.500
0.000 0.500 0.500
0.250 0.726 0.977
0.250 0.726 0.500
0.261 0.282 0.521
0.727 0.726 0.977
0.273 0.274 0.023
0.739 0.718 0.479
0.750 0.274 0.500
0.750 0.274 0.023

=====

(10)
NaPm3Sc2Te6, relaxed, DFT PBE-GGA; total magnetic moment = 0.00 μB/cell; raw formation energy = -15.3 eV per formula unit; N(E_F) = 0.426 states/eV/atom
1.0
-1.765 -0.466 -3.947
-7.585 -2.408 3.676
0.049 9.693 1.230
Na Pm Sc Te
1 3 2 6
direct
0.500 0.000 0.000
0.500 0.500 0.000
0.841 0.176 0.681
0.159 0.824 0.319
0.835 0.657 0.670
0.165 0.343 0.330
0.331 0.900 0.661
0.672 0.573 0.344
0.669 0.100 0.339
0.009 0.248 0.017
0.991 0.752 0.983
0.328 0.427 0.656

=====

(11)
NaPmSe2, relaxed, DFT PBE-GGA; total magnetic moment = 0.00 μB/cell; energy relative to the lowest polymorph listed for this composition = 256 meV/atom; raw formation energy = -5.7 eV per formula unit
1.0
-3.127 3.837 -1.314
-3.873 1.316 3.082
0.162 4.429 2.568
Na Se Pm
1 2 1
direct
0.000 0.000 0.000
0.250 0.250 0.250
0.750 0.750 0.750
0.500 0.500 0.500

=====

(12)
NaPm4Se5, relaxed, DFT PBE-GGA; total magnetic moment = 0.00 μB/cell; energy relative to the lowest polymorph listed for this composition = 6 meV/atom; raw formation energy = -17.8 eV per formula unit; N(E_F) = 0.402 states/eV/atom
1.0
5.916 0.000 0.000
2.958 6.650 0.000
2.958 0.000 6.650
Na Pm Se
1 4 5
direct
0.001 0.000 0.000
0.399 0.401 0.803
0.800 0.803 0.599
0.202 0.197 0.401
0.603 0.599 0.197
0.904 0.396 0.799
0.300 0.799 0.604
0.702 0.201 0.396
0.098 0.604 0.201
0.501 0.000 0.000